Entry 1:
# Th2Ag3Au PBE relaxed
# formation energy	-0.3064	eV/atom
# D(E_F)	0.5169	states/eV/atom
data_Th2Ag3Au
_chemical_formula_sum 'Th2 Ag3 Au1'
_cell_length_a 3.4056
_cell_length_b 4.8528
_cell_length_c 8.4518
_cell_angle_alpha 90.00
_cell_angle_beta 90.00
_cell_angle_gamma 90.00
_space_group_name_H-M_alt 'P m m 2'
_space_group_IT_number 25
loop_
_space_group_symop_operation_xyz
'x,y,z'
'-x,-y,z'
'-x,y,z'
'x,-y,z'
loop_
_atom_site_label
_atom_site_fract_x
_atom_site_fract_y
_atom_site_fract_z
Th1 0.0000 0.0000 0.0000
Th2 0.0000 0.5000 0.4843
Ag1 0.5000 0.0000 0.6623
Ag2 0.5000 0.5000 0.1551
Ag3 0.5000 0.5000 0.8240
Au1 0.5000 0.0000 0.3276

=====

Entry 2:
# Th6AgAu PBE relaxed
# formation energy	-0.1403	eV/atom
# D(E_F)	1.0487	states/eV/atom
data_Th6AgAu
_chemical_formula_sum 'Th12 Ag2 Au2'
_cell_length_a 5.1819
_cell_length_b 5.1819
_cell_length_c 17.5668
_cell_angle_alpha 90.00
_cell_angle_beta 90.00
_cell_angle_gamma 90.00
_space_group_name_H-M_alt 'I 4/m m m'
_space_group_IT_number 139
_space_group_name_Hall '-I 4 2'
loop_
_atom_site_label
_atom_site_fract_x
_atom_site_fract_y
_atom_site_fract_z
Th1 0.0000 0.0000 0.2491
Th2 0.0000 0.5000 0.1114
Ag1 0.0000 0.0000 0.0000
Au1 0.0000 0.0000 0.5000

=====

Entry 3:
# ThAgAu PBE relaxed
# formation energy	-0.3476	eV/atom
# D(E_F)	0.6726	states/eV/atom
data_ThAgAu
_chemical_formula_sum 'Th2 Ag2 Au2'
_cell_length_a 3.7679
_cell_length_b 3.7679
_cell_length_c 9.8960
_cell_angle_alpha 90.00
_cell_angle_beta 90.00
_cell_angle_gamma 90.00
_space_group_name_H-M_alt 'I 4 m m'
_space_group_IT_number 107
_space_group_name_Hall 'I 4 -2'
loop_
_atom_site_label
_atom_site_fract_x
_atom_site_fract_y
_atom_site_fract_z
Th1 0.0000 0.0000 0.0000
Ag1 0.0000 0.0000 0.3168
Au1 0.0000 0.0000 0.6734